Compound: Zr2NpPaN6
Source: Alexandria via LeMat-Bulk
Functional: GGA-PBE
Structure: relaxed

Calculated values
V   140 Å³/cell
Crystal system   trigonal
E_form (uncorrected)   -1.356 eV per atom
Space-group type   R3
Raw total energy   -103.0 eV/f.u.

Cell: 5.7566 5.7566 5.9064 Å, 60.84 60.84 60.00°
Last column: nearest neighbours and their distance in Å.
Positions (direct):
1 N 0.3990 0.7085 0.7583  2 Zr 2.15-2.38, 1 Np 2.23, 1 Pa 2.30
2 N 0.6246 0.2116 0.2558  2 Zr 2.15-2.36, 1 Np 2.27, 1 Pa 2.31
3 N 0.7085 0.1342 0.7584  2 Zr 2.15-2.38, 1 Np 2.23, 1 Pa 2.30
4 Zr 0.5302 0.5302 0.4093  6 N 2.15-2.38
5 N 0.9079 0.6246 0.2559  2 Zr 2.15-2.36, 1 Np 2.27, 1 Pa 2.31
6 Pa 0.8069 0.8069 0.5793  6 N 2.30-2.31
7 Np 0.3120 0.3119 0.0641  6 N 2.23-2.27
8 N 0.1342 0.3990 0.7584  2 Zr 2.15-2.38, 1 Np 2.23, 1 Pa 2.30
9 Zr 0.0267 0.0267 0.9198  6 N 2.15-2.36
10 N 0.2116 0.9079 0.2558  2 Zr 2.15-2.36, 1 Np 2.27, 1 Pa 2.31



Compound: MnNi4Pt
Source: Alexandria via LeMat-Bulk
Functional: GGA-PBE
Structure: relaxed

Calculated values
Formation energy from the elements   -0.13 eV per atom
Energy relative to the lowest polymorph listed for this composition   0.000 eV/atom
V   73 Å³/cell
Crystal system   orthorhombic
Space-group type   Cmmm
Raw total energy   -39.1 eV/f.u.

Cell: 3.6647 5.7246 3.6618 Å, 89.99 90.00 108.60°
Last column: nearest neighbours and their distance in Å.
Positions (direct):
1 Ni 0.1708 0.3421 0.5000  8 Ni 2.49-2.59, 2 Pt 2.61, 2 Mn 2.61
2 Ni 0.3271 0.6538 0.0000  8 Ni 2.48-2.59, 2 Mn 2.62, 2 Pt 2.62
3 Ni 0.6729 0.3462 0.0000  8 Ni 2.48-2.59, 2 Mn 2.62, 2 Pt 2.62
4 Ni 0.8292 0.6579 0.5000  8 Ni 2.49-2.59, 2 Pt 2.61, 2 Mn 2.61
5 Pt 0.0000 0.0000 0.0000  4 Mn 2.59, 8 Ni 2.61-2.62
6 Mn 0.5000 0.0000 0.5000  4 Pt 2.59, 8 Ni 2.61-2.62



Compound: MnCoBr3
Source: Alexandria via LeMat-Bulk
Functional: GGA-PBE
Structure: relaxed

Calculated values
Energy relative to the lowest polymorph listed for this composition   0.000 eV/atom
V   125 Å³/cell
Crystal system   cubic
E_form (uncorrected)   0.202 eV per atom
Space-group type   Pm-3m
Raw total energy   -20.3 eV/f.u.

Cell: 4.9976 4.9976 4.9976 Å, 90.00 90.00 90.00°
Last column: nearest neighbours and their distance in Å.
Positions (direct):
1 Br 0.0000 0.0000 0.5000  2 Co 2.50
2 Co 0.0000 0.0000 0.0000  6 Br 2.50
3 Br 0.0000 0.5000 0.0000  2 Co 2.50
4 Mn 0.5000 0.5000 0.5000  12 Br 3.53
5 Br 0.5000 0.0000 0.0000  2 Co 2.50



Compound: LiIrSe
Source: Alexandria via LeMat-Bulk
Functional: GGA-PBE
Structure: relaxed

Calculated values
Energy relative to the lowest polymorph listed for this composition   0.177 eV/atom
V   58 Å³/cell
Crystal system   trigonal
E_form (uncorrected)   -0.026 eV per atom
Space-group type   P3m1
Raw total energy   -14.3 eV/f.u.

Cell: 3.3829 3.3829 5.8488 Å, 90.00 90.00 120.00°
Last column: nearest neighbours and their distance in Å.
Positions (direct):
1 Se 0.6667 0.3333 0.7239  3 Ir 2.39
2 Ir 0.0000 0.0000 0.9583  3 Se 2.39
3 Li 0.3333 0.6667 0.3178  3 Ir 2.87, 3 Se 3.08



Total moment? In order: 2.0 6.2 7.1 0.0 μB per formula unit.